Entry 1:
Crystalline AlGa2FeCu at its relaxed geometry, computed with GGA-PBE.

abc: 4.4490 4.4490 4.5129
angles: 90.00 90.00 90.00
Closest atoms and distances in Å follow each position.
Fractional positions:
Al1 0.0000 0.0000 0.0000  4 Cu 3.15, 8 Ga 3.17
Ga1 0.0000 0.5000 0.5000  2 Fe 2.22
Ga2 0.5000 0.0000 0.5000  2 Fe 2.22
Fe1 0.5000 0.5000 0.5000  4 Ga 2.22, 2 Cu 2.26
Cu1 0.5000 0.5000 0.0000  2 Fe 2.26

Output
Space group ... No. 123
DOS at the Fermi energy ... 3.00 states/eV per cell
Final energy ... -0.1459 hartree per atom
Volume ... 89 Å³/cell

=====

Entry 2:
Crystalline AlFeCu2H at its relaxed geometry, computed with GGA-PBE.

abc: 3.7010 3.7010 3.7506
angles: 90.00 90.00 90.00
Closest atoms and distances in Å follow each position.
Fractional positions:
Al1 0.0000 0.0000 0.0000  4 Fe 2.62, 8 Cu 2.63
Fe1 0.5000 0.5000 0.0000  2 H 1.88
Cu1 0.0000 0.5000 0.5000  2 H 1.85
Cu2 0.5000 0.0000 0.5000  2 H 1.85
H1 0.5000 0.5000 0.5000  4 Cu 1.85, 2 Fe 1.88

Output
Space group ... No. 123
DOS at the Fermi energy ... 2.58 states/eV per cell
Final energy ... -0.1761 hartree per atom
Volume ... 51 Å³/cell

=====

Entry 3:
Crystalline AlFeCuHg2 at its relaxed geometry, computed with GGA-PBE.

abc: 4.9380 4.9380 4.6496
angles: 90.00 90.00 90.00
Closest atoms and distances in Å follow each position.
Fractional positions:
Al1 0.0000 0.0000 0.0000  8 Hg 3.39, 4 Fe 3.49
Fe1 0.5000 0.5000 0.0000  2 Cu 2.32
Cu1 0.5000 0.5000 0.5000  2 Fe 2.32, 4 Hg 2.47
Hg1 0.0000 0.5000 0.5000  2 Cu 2.47
Hg2 0.5000 0.0000 0.5000  2 Cu 2.47

Output
Space group ... No. 123
DOS at the Fermi energy ... 3.84 states/eV per cell
Final energy ... -0.0965 hartree per atom
Volume ... 113 Å³/cell

=====

Entry 4:
Crystalline AlFeCuHg2 at its relaxed geometry, computed with GGA-PBE.

abc: 5.0744 5.0744 4.5783
angles: 90.00 90.00 90.00
Closest atoms and distances in Å follow each position.
Fractional positions:
Al1 0.0000 0.0000 0.0000  8 Hg 3.42, 4 Cu 3.59
Fe1 0.5000 0.5000 0.5000  2 Cu 2.29, 4 Hg 2.54
Cu1 0.5000 0.5000 0.0000  2 Fe 2.29
Hg1 0.0000 0.5000 0.5000  2 Fe 2.54
Hg2 0.5000 0.0000 0.5000  2 Fe 2.54

Output
Space group ... No. 123
DOS at the Fermi energy ... 3.88 states/eV per cell
Final energy ... -0.0957 hartree per atom
Volume ... 118 Å³/cell

=====

Entry 5:
Crystalline Ho2Al5Fe2Cu at its relaxed geometry, computed with GGA-PBE.

abc: 9.6410 9.6410 3.6803
angles: 90.00 90.00 90.00
Closest atoms and distances in Å follow each position.
Fractional positions:
Ho1 0.1857 0.3143 0.0000  3 Fe 2.74-2.97
Ho2 0.3143 0.8143 0.0000  3 Fe 2.74-2.97
Ho3 0.6857 0.1857 0.0000  3 Fe 2.74-2.97
Ho4 0.8143 0.6857 0.0000  3 Fe 2.74-2.97
Al1 0.0000 0.5000 0.5000  4 Fe 2.40
Al2 0.0534 0.7986 0.5000  2 Fe 2.63, 2 Cu 2.72, 3 Al 2.84-2.92
Al3 0.2014 0.0534 0.5000  2 Fe 2.63, 2 Cu 2.72, 3 Al 2.84-2.92
Al4 0.2986 0.5534 0.5000  2 Fe 2.63, 2 Cu 2.72, 3 Al 2.84-2.92
Al5 0.4466 0.2986 0.5000  2 Fe 2.63, 2 Cu 2.72, 3 Al 2.84-2.92
Al6 0.5000 0.0000 0.5000  4 Fe 2.40
Al7 0.5534 0.7014 0.5000  2 Fe 2.63, 2 Cu 2.72, 3 Al 2.84-2.92
Al8 0.7014 0.4466 0.5000  2 Fe 2.63, 2 Cu 2.72, 3 Al 2.84-2.92
Al9 0.7986 0.9466 0.5000  2 Fe 2.63, 2 Cu 2.72, 3 Al 2.84-2.92
Al10 0.9466 0.2014 0.5000  2 Fe 2.63, 2 Cu 2.72, 3 Al 2.84-2.92
Fe1 0.1133 0.6133 0.0000  6 Al 2.40-2.63
Fe2 0.3867 0.1133 0.0000  6 Al 2.40-2.63
Fe3 0.6133 0.8867 0.0000  6 Al 2.40-2.63
Fe4 0.8867 0.3867 0.0000  6 Al 2.40-2.63
Cu1 0.0000 0.0000 0.0000  8 Al 2.72
Cu2 0.5000 0.5000 0.0000  8 Al 2.72

Output
Space group ... No. 127
DOS at the Fermi energy ... 15.35 states/eV per cell
Final energy ... -0.1889 hartree per atom
Volume ... 342 Å³/cell

=====

Entry 6:
Crystalline LuAlFeCu at its relaxed geometry, computed with GGA-PBE.

abc: 4.4218 4.4218 4.4218
angles: 60.00 60.00 60.00
Closest atoms and distances in Å follow each position.
Fractional positions:
Lu1 0.0000 0.0000 0.0000  4 Fe 2.71, 4 Cu 2.71
Al1 0.5000 0.5000 0.5000  4 Fe 2.71, 4 Cu 2.71
Fe1 0.7500 0.7500 0.7500  4 Al 2.71, 4 Lu 2.71
Cu1 0.2500 0.2500 0.2500  4 Al 2.71, 4 Lu 2.71

Output
Space group ... No. 216
DOS at the Fermi energy ... 3.85 states/eV per cell
Final energy ... -0.1963 hartree per atom
Volume ... 61 Å³/cell

=====

Number 1: size of the total moment 0.104 μB/atom. Number 2: size of the total moment 0.331 μB/atom. Number 3: size of the total moment 0.612 μB/atom. Number 4: size of the total moment 0.493 μB/atom. Number 5: size of the total moment 0.328 μB/atom. Number 6: size of the total moment 0.001 μB/atom.